! AcIn2Te4Pb (PBE-GGA, optimized geometry); values from VASP
&SYSTEM
  ibrav = 0, nat = 8, ntyp = 4
/
ATOMIC_SPECIES
In 114.82 In.upf
Te 127.60 Te.upf
Pb 207.20 Pb.upf
Ac 227.00 Ac.upf
ATOMIC_POSITIONS crystal
In 0.500 0.000 0.500
In 0.000 0.000 0.000
Te 0.500 0.751 0.251
Te 0.000 0.752 0.749
Te 0.500 0.249 0.749
Te 0.000 0.248 0.251
Pb 0.500 0.500 0.000
Ac 0.000 0.500 0.500
CELL_PARAMETERS angstrom
-0.336 -1.489 -4.392
7.888 -2.248 0.159
0.517 -7.606 2.539
! * formation energy from raw total energies: -0.655 eV per atom
! * uncorrected energy: -0.1429 Ha/atom
! * space-group type: P2/m, No. 10